Crystalline KHN at its relaxed geometry, computed with PBE.

Values from the calculation:
symmetry: Cm, No. 8
energy relative to the lowest polymorph listed for this composition: 416.0 meV/atom
calculated volume: 53 Å³ per cell

Geometry as extended XYZ:
```
3
Lattice="3.847 0.021 -0.120 0.049 4.807 0.014 2.035 2.406 2.784" Properties=species:S:1:pos:R:3 pbc="T T T"
K 5.096 5.166 2.441
H 3.908 2.773 2.472
N 2.868 2.702 2.502
```